A geometry-optimized ReTcMo structure, computed with PBE-GGA.

Summary:
- energy above the lowest structure with this stoichiometry (eV per formula unit) = 0.19
- magnetization (μB/cell) = 0.00
- space group = Fmm2
- calculated total energy (eV/atom) = -11.04
- energy of formation (kcal/mol of atoms) = 4.06

abc: 6.953 6.764 2.721
angles: 82.48 74.69 22.83
Fractional positions:
Re 0.000 0.000 0.000
Tc 0.333 0.333 0.667
Mo 0.667 0.667 0.333

A geometry-optimized ReTc2Mo structure, computed with PBE-GGA.

Summary:
- energy above the lowest structure with this stoichiometry (eV per formula unit) = 0.32
- magnetization (μB/cell) = 0.00
- space group = Cmm2
- calculated total energy (eV/atom) = -10.81
- energy of formation (kcal/mol of atoms) = 4.36

abc: 2.699 2.699 8.790
angles: 90.00 90.00 109.42
Fractional positions:
Re 0.000 0.000 0.000
Tc 0.000 0.000 0.505
Tc 0.500 0.500 0.751
Mo 0.500 0.500 0.254

A geometry-optimized Re2TcMo structure, computed with PBE-GGA.

Summary:
- energy above the lowest structure with this stoichiometry (eV per formula unit) = 0.04
- magnetization (μB/cell) = 0.00
- space group = Pmmm
- calculated total energy (eV/atom) = -11.40
- energy of formation (kcal/mol of atoms) = 2.73

abc: 2.766 3.948 5.553
angles: 90.00 90.00 90.00
Fractional positions:
Re 0.000 0.000 0.244
Re 0.000 0.000 0.756
Tc 0.500 0.500 0.000
Mo 0.500 0.500 0.500